Arrangement a

Compound: CdRu2Pb
Source: Alexandria
Functional: GGA-PBE
Structure: optimized geometry

The magnetic moment comes out at 0.86 μB/f.u.

a = 4.3925 Å, b = 3.2381 Å, c = 10.6472 Å
α = 90.00°, β = 90.00°, γ = 90.00°
Space group Amm2 (No. 38)
Symmetry-distinct sites (fractional):
Cd 0.0000 0.0000 0.0000 (multiplicity 2)
Ru 0.0000 0.0000 0.2805 (multiplicity 2)
Ru 0.5000 0.0000 0.3953 (multiplicity 2)
Pb 0.5000 0.0000 0.6670 (multiplicity 2)

Arrangement b

Compound: CdRu2Pb
Source: Alexandria
Functional: GGA-PBE
Structure: optimized geometry

The magnetic moment comes out at 0.67 μB/f.u.

a = 4.0905 Å, b = 4.0905 Å, c = 8.5626 Å
α = 90.00°, β = 90.00°, γ = 90.00°
Space group I-4m2 (No. 119)
Symmetry-distinct sites (fractional):
Cd 0.0000 0.0000 0.0000 (multiplicity 2)
Ru 0.0000 0.0000 0.5000 (multiplicity 2)
Ru 0.0000 0.5000 0.2500 (multiplicity 2)
Pb 0.0000 0.5000 0.7500 (multiplicity 2)

Verdict on stability: arrangement b comes out at the bottom.

Arrangement a

Compound: CdRu2Pb
Source: Alexandria
Functional: GGA-PBE
Structure: optimized geometry

The magnetic moment comes out at 0.58 μB/f.u.

a = 4.6320 Å, b = 4.6320 Å, c = 3.2738 Å
α = 90.00°, β = 90.00°, γ = 90.00°
Space group P4/mmm (No. 123)
Symmetry-distinct sites (fractional):
Cd 0.0000 0.0000 0.0000 (multiplicity 1)
Ru 0.0000 0.5000 0.5000 (multiplicity 2)
Pb 0.5000 0.5000 0.0000 (multiplicity 1)

Arrangement b

Compound: CdRu2Pb
Source: Alexandria
Functional: GGA-PBE
Structure: optimized geometry

The magnetic moment comes out at 0.00 μB/f.u.

a = 7.5035 Å, b = 7.5035 Å, c = 5.5705 Å
α = 90.00°, β = 90.00°, γ = 90.00°
Space group I-42d (No. 122)
Symmetry-distinct sites (fractional):
Cd 0.0000 0.0000 0.0000 (multiplicity 4)
Ru 0.2454 0.2500 0.6250 (multiplicity 8)
Pb 0.0000 0.0000 0.5000 (multiplicity 4)

Verdict on stability: arrangement b comes out at the bottom.

Arrangement a

Compound: CdRu2Pb
Source: Alexandria
Functional: GGA-PBE
Structure: optimized geometry

The magnetic moment comes out at 0.49 μB/f.u.

a = 3.1392 Å, b = 3.1392 Å, c = 25.7995 Å
α = 90.00°, β = 90.00°, γ = 120.00°
Space group R-3m (No. 166, hexagonal axes)
Symmetry-distinct sites (fractional):
Cd 0.0000 0.0000 0.0000 (multiplicity 3)
Ru 0.0000 0.0000 0.2480 (multiplicity 6)
Pb 0.0000 0.0000 0.5000 (multiplicity 3)

Arrangement b

Compound: CdRu2Pb
Source: Alexandria
Functional: GGA-PBE
Structure: optimized geometry

The magnetic moment comes out at 0.00 μB/f.u.

a = 3.0701 Å, b = 4.2039 Å, c = 5.9355 Å
α = 90.00°, β = 104.80°, γ = 90.00°
Space group P2/m (No. 10)
Symmetry-distinct sites (fractional):
Cd 0.0000 0.0000 0.0000 (multiplicity 1)
Ru 0.3968 0.5000 0.7740 (multiplicity 2)
Pb 0.0000 0.0000 0.5000 (multiplicity 1)

Arrangement c

Compound: CdRu2Pb
Source: Alexandria
Functional: GGA-PBE
Structure: optimized geometry

The magnetic moment comes out at 2.23 μB/f.u.

a = 6.6409 Å, b = 6.6409 Å, c = 6.6409 Å
α = 90.00°, β = 90.00°, γ = 90.00°
Space group F-43m (No. 216)
Symmetry-distinct sites (fractional):
Cd 0.0000 0.0000 0.0000 (multiplicity 4)
Ru 0.0000 0.0000 0.5000 (multiplicity 4)
Ru 0.2500 0.2500 0.7500 (multiplicity 4)
Pb 0.2500 0.2500 0.2500 (multiplicity 4)

Verdict on stability: arrangement c comes out at the bottom.

Arrangement a

Compound: CdRu2Pb2
Source: Alexandria
Functional: GGA-PBE
Structure: optimized geometry

The magnetic moment comes out at 0.00 μB/f.u.

a = 7.6967 Å, b = 7.6967 Å, c = 3.3648 Å
α = 90.00°, β = 90.00°, γ = 90.00°
Space group P4/mbm (No. 127)
Symmetry-distinct sites (fractional):
Cd 0.0000 0.0000 0.0000 (multiplicity 2)
Ru 0.1418 0.3582 0.0000 (multiplicity 4)
Pb 0.1568 0.6568 0.5000 (multiplicity 4)

Arrangement b

Compound: CdRu2Pb2
Source: Alexandria
Functional: GGA-PBE
Structure: optimized geometry

The magnetic moment comes out at 0.13 μB/f.u.

a = 4.4870 Å, b = 4.4870 Å, c = 11.3116 Å
α = 90.00°, β = 90.00°, γ = 90.00°
Space group I4/mmm (No. 139)
Symmetry-distinct sites (fractional):
Cd 0.0000 0.0000 0.0000 (multiplicity 2)
Ru 0.0000 0.0000 0.3942 (multiplicity 4)
Pb 0.0000 0.5000 0.2500 (multiplicity 4)

Verdict on stability: arrangement b comes out at the bottom.

Arrangement a

Compound: CdPb3S4
Source: Alexandria
Functional: GGA-PBE
Structure: optimized geometry

The magnetic moment comes out at 0.00 μB/f.u.

a = 8.6304 Å, b = 9.1241 Å, c = 6.0208 Å
α = 90.00°, β = 90.00°, γ = 90.00°
Space group Pmn2_1 (No. 31)
Symmetry-distinct sites (fractional):
Cd 0.0000 0.1884 0.0000 (multiplicity 2)
Pb 0.0000 0.8827 0.4744 (multiplicity 2)
Pb 0.2218 0.6562 0.9777 (multiplicity 4)
S 0.0000 0.2121 0.4497 (multiplicity 2)
S 0.0000 0.9079 0.9518 (multiplicity 2)
S 0.2414 0.6719 0.4522 (multiplicity 4)

Arrangement b

Compound: CdPb3S4
Source: Alexandria
Functional: GGA-PBE
Structure: optimized geometry

The magnetic moment comes out at 0.00 μB/f.u.

a = 4.1875 Å, b = 4.1875 Å, c = 11.6862 Å
α = 90.00°, β = 90.00°, γ = 90.00°
Space group P4/mmm (No. 123)
Symmetry-distinct sites (fractional):
Cd 0.0000 0.0000 0.0000 (multiplicity 1)
Pb 0.0000 0.0000 0.5000 (multiplicity 1)
Pb 0.5000 0.5000 0.2409 (multiplicity 2)
S 0.0000 0.0000 0.2317 (multiplicity 2)
S 0.5000 0.5000 0.0000 (multiplicity 1)
S 0.5000 0.5000 0.5000 (multiplicity 1)

Verdict on stability: arrangement a comes out at the bottom.

Arrangement a

Compound: CdPb2S2
Source: Alexandria
Functional: GGA-PBE
Structure: optimized geometry

The magnetic moment comes out at 0.00 μB/f.u.

a = 8.0235 Å, b = 8.0235 Å, c = 3.9549 Å
α = 90.00°, β = 90.00°, γ = 90.00°
Space group P4/mbm (No. 127)
Symmetry-distinct sites (fractional):
Cd 0.0000 0.0000 0.0000 (multiplicity 2)
Pb 0.1610 0.3390 0.5000 (multiplicity 4)
S 0.1575 0.6575 0.0000 (multiplicity 4)

Arrangement b

Compound: CdPb2S2
Source: Alexandria
Functional: GGA-PBE
Structure: optimized geometry

The magnetic moment comes out at 0.00 μB/f.u.

a = 5.0245 Å, b = 5.0245 Å, c = 12.6184 Å
α = 90.00°, β = 90.00°, γ = 90.00°
Space group I4/mmm (No. 139)
Symmetry-distinct sites (fractional):
Cd 0.0000 0.0000 0.0000 (multiplicity 2)
Pb 0.0000 0.0000 0.3505 (multiplicity 4)
S 0.0000 0.5000 0.2500 (multiplicity 4)

Verdict on stability: arrangement b comes out at the bottom.